Below is a relaxed structure of AcScGa, with properties calculated at the PBE level.

Properties
- Total magnetization: 0.00 μB per formula unit
- Energy of formation from the pure elements: -0.244 eV per atom

Structure (CIF):
```
data_AcScGa
_chemical_formula_sum 'Ac1 Sc1 Ga1'
_cell_length_a 6.811
_cell_length_b 6.811
_cell_length_c 6.811
_cell_angle_alpha 148.93
_cell_angle_beta 148.93
_cell_angle_gamma 44.51
_symmetry_space_group_name_H-M 'P 1'
_symmetry_Int_Tables_number 1
loop_
_symmetry_equiv_pos_as_xyz
'x,y,z'
loop_
_atom_site_label
_atom_site_type_symbol
_atom_site_fract_x
_atom_site_fract_y
_atom_site_fract_z
Ac1 Ac 0.000 0.000 0.000
Sc1 Sc 0.289 0.289 0.000
Ga1 Ga 0.682 0.682 0.000
```


Below is a relaxed structure of AcScGa4, with properties calculated at the PBE level.

Properties
- Total magnetization: 0.00 μB per formula unit
- Energy of formation from the pure elements: -0.553 eV per atom

Structure (CIF):
```
data_AcScGa4
_chemical_formula_sum 'Ac4 Sc4 Ga16'
_cell_length_a 8.175
_cell_length_b 15.739
_cell_length_c 4.261
_cell_angle_alpha 90.00
_cell_angle_beta 90.00
_cell_angle_gamma 90.00
_symmetry_space_group_name_H-M 'P 1'
_symmetry_Int_Tables_number 1
loop_
_symmetry_equiv_pos_as_xyz
'x,y,z'
loop_
_atom_site_label
_atom_site_type_symbol
_atom_site_fract_x
_atom_site_fract_y
_atom_site_fract_z
Ac1 Ac 0.130 0.149 0.000
Ac2 Ac 0.370 0.649 0.000
Ac3 Ac 0.630 0.351 0.000
Ac4 Ac 0.870 0.851 0.000
Sc1 Sc 0.126 0.417 0.000
Sc2 Sc 0.374 0.917 0.000
Sc3 Sc 0.626 0.083 0.000
Sc4 Sc 0.874 0.583 0.000
Ga1 Ga 0.017 0.697 0.500
Ga2 Ga 0.117 0.550 0.500
Ga3 Ga 0.131 0.966 0.500
Ga4 Ga 0.211 0.814 0.500
Ga5 Ga 0.289 0.314 0.500
Ga6 Ga 0.369 0.466 0.500
Ga7 Ga 0.383 0.050 0.500
Ga8 Ga 0.483 0.197 0.500
Ga9 Ga 0.517 0.803 0.500
Ga10 Ga 0.617 0.950 0.500
Ga11 Ga 0.631 0.534 0.500
Ga12 Ga 0.711 0.686 0.500
Ga13 Ga 0.789 0.186 0.500
Ga14 Ga 0.869 0.034 0.500
Ga15 Ga 0.883 0.450 0.500
Ga16 Ga 0.983 0.303 0.500
```


Below is a relaxed structure of AcSc2Ga, with properties calculated at the PBE level.

Properties
- Total magnetization: 1.72 μB per formula unit
- Energy of formation from the pure elements: 0.045 eV per atom

Structure (CIF):
```
data_AcSc2Ga
_chemical_formula_sum 'Ac1 Sc2 Ga1'
_cell_length_a 5.234
_cell_length_b 5.234
_cell_length_c 5.234
_cell_angle_alpha 60.00
_cell_angle_beta 60.00
_cell_angle_gamma 60.00
_symmetry_space_group_name_H-M 'P 1'
_symmetry_Int_Tables_number 1
loop_
_symmetry_equiv_pos_as_xyz
'x,y,z'
loop_
_atom_site_label
_atom_site_type_symbol
_atom_site_fract_x
_atom_site_fract_y
_atom_site_fract_z
Ac1 Ac 0.000 0.000 0.000
Sc1 Sc 0.250 0.250 0.250
Sc2 Sc 0.750 0.750 0.750
Ga1 Ga 0.500 0.500 0.500
```


Below is a relaxed structure of AcSc2Ga, with properties calculated at the PBE level.

Properties
- Total magnetization: 0.97 μB per formula unit
- Energy of formation from the pure elements: -0.083 eV per atom

Structure (CIF):
```
data_AcSc2Ga
_chemical_formula_sum 'Ac1 Sc2 Ga1'
_cell_length_a 4.725
_cell_length_b 4.725
_cell_length_c 4.725
_cell_angle_alpha 90.00
_cell_angle_beta 90.00
_cell_angle_gamma 90.00
_symmetry_space_group_name_H-M 'P 1'
_symmetry_Int_Tables_number 1
loop_
_symmetry_equiv_pos_as_xyz
'x,y,z'
loop_
_atom_site_label
_atom_site_type_symbol
_atom_site_fract_x
_atom_site_fract_y
_atom_site_fract_z
Ac1 Ac 0.000 0.000 0.000
Sc1 Sc 0.000 0.500 0.500
Sc2 Sc 0.500 0.000 0.500
Ga1 Ga 0.500 0.500 0.000
```


Below is a relaxed structure of AcScGa4, with properties calculated at the PBE level.

Properties
- Total magnetization: 0.00 μB per formula unit
- Energy of formation from the pure elements: -0.390 eV per atom

Structure (CIF):
```
data_AcScGa4
_chemical_formula_sum 'Ac1 Sc1 Ga4'
_cell_length_a 5.652
_cell_length_b 5.652
_cell_length_c 5.652
_cell_angle_alpha 60.00
_cell_angle_beta 60.00
_cell_angle_gamma 60.00
_symmetry_space_group_name_H-M 'P 1'
_symmetry_Int_Tables_number 1
loop_
_symmetry_equiv_pos_as_xyz
'x,y,z'
loop_
_atom_site_label
_atom_site_type_symbol
_atom_site_fract_x
_atom_site_fract_y
_atom_site_fract_z
Ac1 Ac 0.000 0.000 0.000
Sc1 Sc 0.750 0.750 0.750
Ga1 Ga 0.375 0.375 0.375
Ga2 Ga 0.375 0.375 0.874
Ga3 Ga 0.375 0.874 0.375
Ga4 Ga 0.874 0.375 0.375
```


Below is a relaxed structure of AcScGa2, with properties calculated at the PBE level.

Properties
- Total magnetization: 0.00 μB per formula unit
- Energy of formation from the pure elements: -0.543 eV per atom

Structure (CIF):
```
data_AcScGa2
_chemical_formula_sum 'Ac4 Sc4 Ga8'
_cell_length_a 8.485
_cell_length_b 4.277
_cell_length_c 11.493
_cell_angle_alpha 90.00
_cell_angle_beta 90.00
_cell_angle_gamma 90.00
_symmetry_space_group_name_H-M 'P 1'
_symmetry_Int_Tables_number 1
loop_
_symmetry_equiv_pos_as_xyz
'x,y,z'
loop_
_atom_site_label
_atom_site_type_symbol
_atom_site_fract_x
_atom_site_fract_y
_atom_site_fract_z
Ac1 Ac 0.135 0.250 0.133
Ac2 Ac 0.365 0.750 0.633
Ac3 Ac 0.635 0.250 0.367
Ac4 Ac 0.865 0.750 0.867
Sc1 Sc 0.009 0.750 0.388
Sc2 Sc 0.491 0.250 0.888
Sc3 Sc 0.509 0.750 0.112
Sc4 Sc 0.991 0.250 0.612
Ga1 Ga 0.167 0.250 0.820
Ga2 Ga 0.223 0.250 0.430
Ga3 Ga 0.277 0.750 0.930
Ga4 Ga 0.333 0.750 0.320
Ga5 Ga 0.667 0.250 0.680
Ga6 Ga 0.723 0.250 0.070
Ga7 Ga 0.777 0.750 0.570
Ga8 Ga 0.833 0.750 0.180
```